1.
# NaLiHO2, optimized geometry, DFT GGA-PBE
data_NaLiHO2
_cell_length_a 3.553
_cell_length_b 3.420
_cell_length_c 3.553
_cell_angle_alpha 90.00
_cell_angle_beta 90.00
_cell_angle_gamma 90.00
_space_group_name_H-M_alt 'P 1'
_space_group_IT_number 1
loop_
_space_group_symop_operation_xyz
'x,y,z'
loop_
_atom_site_label
_atom_site_fract_x
_atom_site_fract_y
_atom_site_fract_z
_atom_site_occupancy
Na1 0.000 0.500 0.000 1
H1 0.000 0.000 0.000 1
O1 0.000 0.000 0.500 1
O2 0.500 0.000 0.000 1
Li1 0.500 0.500 0.500 1
# SG: P4/mmm (123)

2.
# LiLuScSi, optimized geometry, DFT GGA-PBE
data_LiLuScSi
_cell_length_a 4.754
_cell_length_b 4.754
_cell_length_c 4.754
_cell_angle_alpha 60.00
_cell_angle_beta 60.00
_cell_angle_gamma 60.00
_space_group_name_H-M_alt 'P 1'
_space_group_IT_number 1
loop_
_space_group_symop_operation_xyz
'x,y,z'
loop_
_atom_site_label
_atom_site_fract_x
_atom_site_fract_y
_atom_site_fract_z
_atom_site_occupancy
Sc1 0.500 0.500 0.500 1
Si1 0.750 0.750 0.750 1
Lu1 0.000 0.000 0.000 1
Li1 0.250 0.250 0.250 1
# Raw formation energy: -0.366 eV/atom
# SG: F-43m (216)

3.
# LaCo2Os, optimized geometry, DFT GGA-PBE
data_LaCo2Os
_cell_length_a 4.620
_cell_length_b 4.620
_cell_length_c 8.484
_cell_angle_alpha 74.20
_cell_angle_beta 74.20
_cell_angle_gamma 90.00
_space_group_name_H-M_alt 'P 1'
_space_group_IT_number 1
loop_
_space_group_symop_operation_xyz
'x,y,z'
loop_
_atom_site_label
_atom_site_fract_x
_atom_site_fract_y
_atom_site_fract_z
_atom_site_occupancy
Co1 0.818 0.125 0.250 1
Co2 0.932 0.625 0.250 1
Co3 0.375 0.182 0.750 1
Co4 0.875 0.068 0.750 1
Os1 0.000 0.000 0.000 1
Os2 0.750 0.250 0.500 1
La1 0.500 0.500 0.000 1
La2 0.250 0.750 0.500 1
# Formation energy from the elements: 1.6 eV/f.u.
# SG: I-42d (122)
# Excess energy over the best structure of this formula in the dataset: 437 meV per atom

DFT total energy values, unit eV/f.u., following the record order: -17.934 -19.653 -28.730.
Fermi-level density of states values, unit states/eV/cell, following the record order: 0.7 2.6 10.0.